No. 1
Computed, not measured: an optimized crystal structure of KTe2O at the PBE level of DFT.

The space group is R-3m (No. 166, hexagonal axes) and the conventional cell measures 3.6710, 3.6710 and 29.3051 Å, with angles of 90.00, 90.00 and 120.00 degrees. Symmetry generates all atoms from K at (0.0000, 0.0000, 0.0000), Te at (0.0000, 0.0000, 0.4301) and O at (0.0000, 0.0000, 0.5000).

The uncorrected formation energy comes out at -0.008 eV/atom. The magnetization is 0.00 μB/f.u.

***

No. 2
Computed, not measured: an optimized crystal structure of BaYMo2 at the PBE level of DFT.

The space group is I-42d (No. 122) and the conventional cell measures 8.298, 8.298 and 5.848 Å, with angles of 90.00, 90.00 and 90.00 degrees. Symmetry generates all atoms from Ba at (0.000, 0.000, 0.000), Y at (0.000, 0.000, 0.500) and Mo at (0.237, 0.250, 0.625).

For the energy of formation from the pure elements, the calculation gives 6.25 eV per formula unit. The magnetization is 1.10 μB/f.u. The energy above the lowest structure with this stoichiometry is 4.520 eV/f.u.